(1)
Computed, not measured: an optimized crystal structure of SmScAlAg at the GGA-PBE level of DFT.

Geometry as extended XYZ:
```
4
Lattice="5.068 0.000 0.000 2.534 4.389 0.000 2.534 1.463 4.138" Properties=species:S:1:pos:R:3 pbc="T T T"
Al 7.601 4.389 3.103
Sc 5.068 2.926 2.069
Ag 2.534 1.463 1.034
Sm 0.000 0.000 0.000
```

Computed properties:
- SG: F-43m
- Crystal system: cubic
- Mass density: 6.0 g/cm³
- E_form: -1.22 eV per formula unit
- Calculated total energy: -18.9 eV per cell

---

(2)
Computed, not measured: an optimized crystal structure of ScAlAgSn at the GGA-PBE level of DFT.

Geometry as extended XYZ:
```
4
Lattice="4.228 0.000 0.000 0.000 4.218 0.000 0.000 0.000 4.426" Properties=species:S:1:pos:R:3 pbc="T T T"
Sn 0.000 0.000 0.000
Ag 0.000 2.109 2.213
Sc 2.114 2.109 0.000
Al 2.114 0.000 2.213
```

Computed properties:
- SG: Pmmm
- Crystal system: orthorhombic
- Mass density: 6.3 g/cm³
- E_form: -1.42 eV per formula unit
- Calculated total energy: -18.4 eV per cell

---

(3)
Computed, not measured: an optimized crystal structure of ScTa2AlAg at the GGA-PBE level of DFT.

Geometry as extended XYZ:
```
5
Lattice="-1.498 4.573 0.258 -0.182 -0.322 4.654 4.576 1.483 0.281" Properties=species:S:1:pos:R:3 pbc="T T T"
Ta 2.288 0.742 0.141
Sc 1.448 2.867 2.596
Ta -0.749 2.286 0.129
Al 0.000 0.000 0.000
Ag -0.091 -0.161 2.327
```

Computed properties:
- SG: P4/mmm
- Crystal system: tetragonal
- Mass density: 8.3 g/cm³
- E_form: 4.92 eV per formula unit
- Calculated total energy: -31.7 eV per cell

---

(4)
Computed, not measured: an optimized crystal structure of TbScAlAg at the GGA-PBE level of DFT.

Geometry as extended XYZ:
```
4
Lattice="-4.082 -2.921 0.025 0.480 -4.987 -0.313 -1.005 -2.874 3.991" Properties=species:S:1:pos:R:3 pbc="T T T"
Sc -2.304 -5.391 1.852
Al -3.456 -8.086 2.778
Tb 0.000 0.000 0.000
Ag -1.152 -2.695 0.926
```

Computed properties:
- SG: F-43m
- Crystal system: cubic
- Mass density: 6.3 g/cm³
- E_form: -1.33 eV per formula unit
- Calculated total energy: -18.9 eV per cell